# CdSnH2

An optimized crystal structure of CdSnH2 (PBE, Alexandria).

Results
SG: P1, No. 1
Crystal system: triclinic
Raw total energy: -10.50 eV per cell
Energy relative to the lowest polymorph listed for this composition: 180 meV per atom
Total magnetization: 0.0 μB/f.u.

Cell and atoms, written as extended XYZ:
```
4
Lattice="3.158 0.000 0.000 -1.404 4.460 0.000 -1.357 -0.500 4.760" Properties=species:S:1:pos:R:3 pbc="T T T"
Cd 0.000 0.000 0.000
Sn 1.818 2.058 1.920
H -1.224 3.127 3.599
H 1.719 0.702 3.171
```

# P3Ir2Au

An optimized crystal structure of P3Ir2Au (PBE, Alexandria).

Results
SG: Cm, No. 8
Crystal system: monoclinic
Energy of formation: -71 meV per atom
Raw total energy: -37.66 eV per cell
Energy relative to the lowest polymorph listed for this composition: 193 meV per atom
Total magnetization: 0.0 μB/f.u.

Cell and atoms, written as extended XYZ:
```
6
Lattice="5.249 -1.635 0.000 5.249 1.635 0.000 -1.914 0.000 5.729" Properties=species:S:1:pos:R:3 pbc="T T T"
P 0.000 0.000 0.000
P 5.398 0.000 2.273
P 7.887 0.000 2.727
Ir 1.136 0.000 3.644
Ir 3.905 0.000 4.126
Au 8.058 0.000 0.254
```

# CsPmBe2Br8

An optimized crystal structure of CsPmBe2Br8 (PBE, Alexandria).

Results
SG: R-3, No. 148
Crystal system: trigonal
Raw total energy: -43.42 eV per cell
Raw formation energy: -1.4153 eV per atom
Total magnetization: 0.0 μB/f.u.

Cell and atoms, written as extended XYZ:
```
12
Lattice="3.359 1.940 10.704 -3.359 1.940 10.704 0.000 -3.879 10.704" Properties=species:S:1:pos:R:3 pbc="T T T"
Cs 0.000 0.000 0.000
Pm 0.000 0.000 16.056
Be 0.000 0.000 7.838
Be 0.000 0.000 24.274
Br -2.332 -0.106 14.334
Br -1.074 -2.072 17.778
Br 0.000 0.000 9.954
Br 1.257 -1.966 14.334
Br -1.257 1.966 17.778
Br 0.000 0.000 22.158
Br 1.074 2.072 14.334
Br 2.332 0.106 17.778
```

# TaCo2Ru2

An optimized crystal structure of TaCo2Ru2 (PBE, Alexandria).

Results
SG: P4/mbm, No. 127
Crystal system: tetragonal
Energy of formation: 39 meV per atom
Raw total energy: -88.84 eV per cell
Energy relative to the lowest polymorph listed for this composition: 0 meV per atom
Total magnetization: 0.0 μB/f.u.

Cell and atoms, written as extended XYZ:
```
10
Lattice="6.997 0.000 0.000 0.000 6.997 0.000 0.000 0.000 2.743" Properties=species:S:1:pos:R:3 pbc="T T T"
Ta 0.000 0.000 0.000
Ta 3.499 3.499 0.000
Co 0.833 2.666 0.000
Co 2.666 6.164 0.000
Co 4.331 0.833 0.000
Co 6.164 4.331 0.000
Ru 1.233 4.731 1.371
Ru 2.266 1.233 1.371
Ru 4.731 5.765 1.371
Ru 5.765 2.266 1.371
```